KPRu | GGA-PBEsol | relaxed

Density of states at the Fermi level = 1.93 states/eV per cell
Uncorrected energy = -0.4296 Ry/atom
Formation energy from the elements = -0.146 eV per atom

Cell lengths 3.0427, 3.0427, 12.1443 Å; angles 90.00, 90.00, 90.00 degrees
With the nearest neighbours (Å) after each atom.
Space group I4mm (No. 107)
Symmetry-distinct sites (fractional):
K (0.0000, 0.0000, 0.0000)  4 K 3.04, 4 P 3.28
P (0.0000, 0.0000, 0.2961)  4 Ru 2.35
Ru (0.0000, 0.0000, 0.7183)  4 P 2.35